1.
! PBE CeNd2Ir, optimized geometry; values from VASP
&SYSTEM
  ibrav = 0, nat = 16, ntyp = 3
/
ATOMIC_SPECIES
Ce 140.12 Ce.upf
Nd 144.24 Nd.upf
Ir 192.22 Ir.upf
ATOMIC_POSITIONS crystal
Ce 0.657 0.541 0.250
Ce 0.843 0.041 0.250
Ce 0.343 0.459 0.750
Ce 0.157 0.959 0.750
Nd 0.169 0.678 0.065
Nd 0.331 0.178 0.435
Nd 0.831 0.322 0.565
Nd 0.669 0.822 0.935
Nd 0.831 0.322 0.935
Nd 0.669 0.822 0.565
Nd 0.169 0.678 0.435
Nd 0.331 0.178 0.065
Ir 0.033 0.371 0.250
Ir 0.467 0.871 0.250
Ir 0.967 0.629 0.750
Ir 0.533 0.129 0.750
CELL_PARAMETERS angstrom
6.574 0.000 0.000
0.000 7.212 0.000
0.000 0.000 9.900
! **N(E_F)**: 8.11 states/eV/f.u.
! **Relative energy among the computed polymorphs**: 0.0 meV per atom

2.
! PBE CeTl3Bi2Te6, optimized geometry; values from VASP
&SYSTEM
  ibrav = 0, nat = 12, ntyp = 4
/
ATOMIC_SPECIES
Ce 140.12 Ce.upf
Tl 204.38 Tl.upf
Bi 208.98 Bi.upf
Te 127.60 Te.upf
ATOMIC_POSITIONS crystal
Ce 0.000 0.000 0.000
Tl 0.166 0.834 0.500
Tl 0.834 0.166 0.500
Tl 0.500 0.500 0.500
Bi 0.334 0.666 0.000
Bi 0.666 0.334 0.000
Te 0.926 0.590 0.779
Te 0.737 0.737 0.219
Te 0.074 0.410 0.221
Te 0.590 0.926 0.779
Te 0.263 0.263 0.781
Te 0.410 0.074 0.221
CELL_PARAMETERS angstrom
7.958 0.000 -0.001
-3.976 6.893 -0.001
-1.329 -2.301 8.045
! **Formation energy without anion corrections**: -616 kJ/mol of formula units
! **N(E_F)**: 8.53 states/eV/f.u.

3.
! PBE Pm4Ge2H, optimized geometry; values from VASP
&SYSTEM
  ibrav = 0, nat = 14, ntyp = 3
/
ATOMIC_SPECIES
Pm 145.00 Pm.upf
Ge 72.64 Ge.upf
H 1.01 H.upf
ATOMIC_POSITIONS crystal
Pm 0.512 0.500 0.265
Pm 0.093 0.750 0.911
Pm 0.907 0.250 0.089
Pm 0.512 0.000 0.265
Pm 0.930 0.250 0.621
Pm 0.488 0.000 0.735
Pm 0.488 0.500 0.735
Pm 0.070 0.750 0.379
Ge 0.715 0.750 0.048
Ge 0.285 0.250 0.952
Ge 0.235 0.250 0.428
Ge 0.765 0.750 0.572
H 0.249 0.750 0.189
H 0.751 0.250 0.811
CELL_PARAMETERS angstrom
6.480 0.000 -0.209
0.000 6.538 0.000
-2.622 0.000 8.321
! **N(E_F)**: 5.34 states/eV/f.u.
! **Relative energy among the computed polymorphs**: 0.0 meV per atom

4.
! PBE LaH2Ir, optimized geometry; values from VASP
&SYSTEM
  ibrav = 0, nat = 4, ntyp = 3
/
ATOMIC_SPECIES
H 1.01 H.upf
Ir 192.22 Ir.upf
La 138.91 La.upf
ATOMIC_POSITIONS crystal
H 0.154 0.154 0.538
H 0.846 0.846 0.462
Ir 0.000 0.000 0.000
La 0.500 0.500 0.500
CELL_PARAMETERS angstrom
4.316 0.000 0.000
2.158 3.738 0.000
2.158 1.246 3.664
! **Relative energy among the computed polymorphs**: 0.0 meV per atom

5.
! PBE AcDyTlHg, optimized geometry; values from VASP
&SYSTEM
  ibrav = 0, nat = 4, ntyp = 4
/
ATOMIC_SPECIES
Ac 227.00 Ac.upf
Dy 162.50 Dy.upf
Tl 204.38 Tl.upf
Hg 200.59 Hg.upf
ATOMIC_POSITIONS crystal
Ac 0.500 0.500 0.113
Dy 0.500 0.500 0.595
Tl 0.000 0.000 0.827
Hg 0.000 0.000 0.393
CELL_PARAMETERS angstrom
3.897 0.000 0.000
0.000 3.897 0.000
0.000 0.000 7.958
! **N(E_F)**: 4.54 states/eV/f.u.
! **Relative energy among the computed polymorphs**: 0.0 meV per atom

6.
! PBE CdTeMo, optimized geometry; values from VASP
&SYSTEM
  ibrav = 0, nat = 3, ntyp = 3
/
ATOMIC_SPECIES
Cd 112.41 Cd.upf
Mo 95.94 Mo.upf
Te 127.60 Te.upf
ATOMIC_POSITIONS crystal
Cd 0.967 0.967 0.000
Mo 0.325 0.325 0.000
Te 0.707 0.707 0.000
CELL_PARAMETERS angstrom
6.956 -0.029 0.000
5.451 4.321 0.000
-6.204 -2.146 2.302
! **Formation energy without anion corrections**: 71 kJ/mol of formula units
! **N(E_F)**: 1.72 states/eV/f.u.
! **Relative energy among the computed polymorphs**: 33.9 meV per atom

7.
! PBE PmTl2C2O6, optimized geometry; values from VASP
&SYSTEM
  ibrav = 0, nat = 11, ntyp = 4
/
ATOMIC_SPECIES
Pm 145.00 Pm.upf
Tl 204.38 Tl.upf
C 12.01 C.upf
O 16.00 O.upf
ATOMIC_POSITIONS crystal
Pm 0.500 0.000 0.500
Tl 0.694 0.360 0.044
Tl 0.306 0.640 0.956
C 0.925 0.801 0.676
C 0.075 0.199 0.324
O 0.876 0.537 0.677
O 0.286 0.143 0.330
O 0.190 0.013 0.684
O 0.714 0.857 0.670
O 0.810 0.987 0.316
O 0.124 0.463 0.323
CELL_PARAMETERS angstrom
-2.405 3.201 3.494
-2.974 -3.565 -2.545
4.876 -3.734 6.100
! **Formation energy without anion corrections**: -1748 kJ/mol of formula units
! **N(E_F)**: 0.76 states/eV/f.u.

8.
! PBE Tl2HgP, optimized geometry; values from VASP
&SYSTEM
  ibrav = 0, nat = 8, ntyp = 3
/
ATOMIC_SPECIES
P 30.97 P.upf
Tl 204.38 Tl.upf
Hg 200.59 Hg.upf
ATOMIC_POSITIONS crystal
P 0.500 0.500 0.000
P 0.250 0.750 0.500
Tl 0.548 0.125 0.250
Tl 0.202 0.625 0.250
Tl 0.375 0.452 0.750
Tl 0.875 0.798 0.750
Hg 0.000 0.000 0.000
Hg 0.750 0.250 0.500
CELL_PARAMETERS angstrom
-0.245 -5.501 7.398
9.210 -0.481 -0.052
4.607 -0.790 5.313
! **N(E_F)**: 0.73 states/eV/f.u.
! **Relative energy among the computed polymorphs**: 41.5 meV per atom

9.
! PBE TmGa5Pd2, optimized geometry; values from VASP
&SYSTEM
  ibrav = 0, nat = 8, ntyp = 3
/
ATOMIC_SPECIES
Tm 168.93 Tm.upf
Ga 69.72 Ga.upf
Pd 106.42 Pd.upf
ATOMIC_POSITIONS crystal
Tm 0.000 0.000 0.000
Ga 0.000 0.500 0.500
Ga 0.643 0.551 0.163
Ga 0.357 0.449 0.837
Ga 0.357 0.837 0.449
Ga 0.643 0.163 0.551
Pd 0.740 0.760 0.760
Pd 0.260 0.240 0.240
CELL_PARAMETERS angstrom
-0.704 -3.636 0.943
2.414 -0.929 5.968
-4.987 0.040 4.176
! **N(E_F)**: 3.08 states/eV/f.u.

10.
! PBE In3AgH, optimized geometry; values from VASP
&SYSTEM
  ibrav = 0, nat = 5, ntyp = 3
/
ATOMIC_SPECIES
H 1.01 H.upf
Ag 107.87 Ag.upf
In 114.82 In.upf
ATOMIC_POSITIONS crystal
H 0.000 0.000 0.000
Ag 0.500 0.500 0.500
In 0.000 0.500 0.000
In 0.000 0.000 0.500
In 0.500 0.000 0.000
CELL_PARAMETERS angstrom
4.682 0.000 0.000
0.000 4.682 0.000
0.000 0.000 4.682
! **N(E_F)**: 2.53 states/eV/f.u.
! **Relative energy among the computed polymorphs**: 0.0 meV per atom

11.
! PBE TeP, optimized geometry; values from VASP
&SYSTEM
  ibrav = 0, nat = 4, ntyp = 2
/
ATOMIC_SPECIES
Te 127.60 Te.upf
P 30.97 P.upf
ATOMIC_POSITIONS crystal
Te 0.753 0.989 0.673
Te 0.921 0.656 0.005
P 0.060 0.171 0.234
P 0.665 0.276 0.447
CELL_PARAMETERS angstrom
3.203 -0.032 0.017
-0.183 5.189 -0.026
-1.524 -2.584 6.902
! **Formation energy without anion corrections**: 31 kJ/mol of formula units
! **N(E_F)**: 0.90 states/eV/f.u.

12.
! PBE CaAu, optimized geometry; values from VASP
&SYSTEM
  ibrav = 0, nat = 4, ntyp = 2
/
ATOMIC_SPECIES
Ca 40.08 Ca.upf
Au 196.97 Au.upf
ATOMIC_POSITIONS crystal
Ca 0.860 0.250 0.721
Ca 0.140 0.750 0.279
Au 0.582 0.250 0.163
Au 0.418 0.750 0.837
CELL_PARAMETERS angstrom
-0.352 -3.771 1.068
3.532 0.537 3.059
-3.457 3.361 3.402
! **N(E_F)**: 1.24 states/eV/f.u.

13.
! PBE NaCu2ICl2, optimized geometry; values from VASP
&SYSTEM
  ibrav = 0, nat = 12, ntyp = 4
/
ATOMIC_SPECIES
Na 22.99 Na.upf
Cu 63.55 Cu.upf
I 126.90 I.upf
Cl 35.45 Cl.upf
ATOMIC_POSITIONS crystal
Na 0.750 0.317 0.580
Na 0.250 0.683 0.420
Cu 0.499 0.104 0.155
Cu 0.001 0.104 0.155
Cu 0.999 0.896 0.845
Cu 0.501 0.896 0.845
I 0.250 0.267 0.973
I 0.750 0.733 0.027
Cl 0.250 0.055 0.360
Cl 0.250 0.581 0.681
Cl 0.750 0.945 0.640
Cl 0.750 0.419 0.319
CELL_PARAMETERS angstrom
-0.795 -2.122 4.638
2.421 -5.854 -2.263
6.514 5.397 3.587
! **Formation energy without anion corrections**: -436 kJ/mol of formula units
! **N(E_F)**: 0.00 states/eV/f.u.

14.
! PBE PrTe3, optimized geometry; values from VASP
&SYSTEM
  ibrav = 0, nat = 4, ntyp = 2
/
ATOMIC_SPECIES
Pr 140.91 Pr.upf
Te 127.60 Te.upf
ATOMIC_POSITIONS crystal
Pr 0.000 0.836 0.000
Te 0.500 0.336 0.000
Te 0.500 0.331 0.500
Te 0.000 0.830 0.500
CELL_PARAMETERS angstrom
4.585 0.000 0.000
0.000 4.585 0.000
0.000 0.000 6.455
! **Formation energy without anion corrections**: -259 kJ/mol of formula units
! **N(E_F)**: 1.73 states/eV/f.u.

15.
! PBE LiTmGe2Pd4, optimized geometry; values from VASP
&SYSTEM
  ibrav = 0, nat = 8, ntyp = 4
/
ATOMIC_SPECIES
Li 6.94 Li.upf
Tm 168.93 Tm.upf
Ge 72.64 Ge.upf
Pd 106.42 Pd.upf
ATOMIC_POSITIONS crystal
Li 0.500 0.500 0.500
Tm 0.000 0.000 0.000
Ge 0.757 0.757 0.730
Ge 0.243 0.243 0.270
Pd 0.396 0.396 0.813
Pd 0.870 0.870 0.389
Pd 0.130 0.130 0.611
Pd 0.604 0.604 0.187
CELL_PARAMETERS angstrom
4.369 0.000 0.000
2.184 3.783 0.000
2.184 1.261 7.829
! **N(E_F)**: 3.85 states/eV/f.u.

16.
! PBE ErVS2, optimized geometry; values from VASP
&SYSTEM
  ibrav = 0, nat = 4, ntyp = 3
/
ATOMIC_SPECIES
S 32.06 S.upf
V 50.94 V.upf
Er 167.26 Er.upf
ATOMIC_POSITIONS crystal
S 0.111 0.111 0.666
S 0.889 0.889 0.334
V 0.500 0.500 0.500
Er 0.000 0.000 0.000
CELL_PARAMETERS angstrom
3.612 0.000 0.000
1.806 3.128 0.000
1.806 1.043 7.901
! **Formation energy without anion corrections**: -318 kJ/mol of formula units
! **N(E_F)**: 6.12 states/eV/f.u.

17.
! PBE Ga2Fe2Pt, optimized geometry; values from VASP
&SYSTEM
  ibrav = 0, nat = 10, ntyp = 3
/
ATOMIC_SPECIES
Ga 69.72 Ga.upf
Pt 195.08 Pt.upf
Fe 55.84 Fe.upf
ATOMIC_POSITIONS crystal
Ga 0.181 0.681 0.500
Ga 0.681 0.819 0.500
Ga 0.819 0.319 0.500
Ga 0.319 0.181 0.500
Pt 0.000 0.000 0.000
Pt 0.500 0.500 0.000
Fe 0.384 0.884 0.000
Fe 0.884 0.616 0.000
Fe 0.616 0.116 0.000
Fe 0.116 0.384 0.000
CELL_PARAMETERS angstrom
-2.075 -2.192 -6.403
5.117 -4.892 0.017
-1.712 -1.786 1.166
! **N(E_F)**: 4.20 states/eV/f.u.
! **Relative energy among the computed polymorphs**: 2.8 meV per atom

18.
! PBE Sc2TlGaCo, optimized geometry; values from VASP
&SYSTEM
  ibrav = 0, nat = 5, ntyp = 4
/
ATOMIC_SPECIES
Sc 44.96 Sc.upf
Tl 204.38 Tl.upf
Co 58.93 Co.upf
Ga 69.72 Ga.upf
ATOMIC_POSITIONS crystal
Sc 0.000 0.000 0.500
Sc 0.500 0.000 0.000
Tl 0.500 0.500 0.500
Co 0.000 0.500 0.000
Ga 0.000 0.000 0.000
CELL_PARAMETERS angstrom
-3.018 -2.913 -2.849
2.510 0.788 -3.464
2.837 -4.047 1.134
! **N(E_F)**: 5.30 states/eV/f.u.
! **Relative energy among the computed polymorphs**: 402.7 meV per atom

19.
! PBE SbRhS, optimized geometry; values from VASP
&SYSTEM
  ibrav = 0, nat = 12, ntyp = 3
/
ATOMIC_SPECIES
Sb 121.76 Sb.upf
S 32.06 S.upf
Rh 102.91 Rh.upf
ATOMIC_POSITIONS crystal
Sb 0.379 0.379 0.379
Sb 0.121 0.621 0.879
Sb 0.879 0.121 0.621
Sb 0.621 0.879 0.121
S 0.382 0.118 0.882
S 0.118 0.882 0.382
S 0.882 0.382 0.118
S 0.618 0.618 0.618
Rh 0.987 0.513 0.487
Rh 0.513 0.487 0.987
Rh 0.487 0.987 0.513
Rh 0.013 0.013 0.013
CELL_PARAMETERS angstrom
6.095 0.000 0.000
0.000 6.095 0.000
0.000 0.000 6.095
! **Formation energy without anion corrections**: -166 kJ/mol of formula units
! **N(E_F)**: 0.00 states/eV/f.u.

no.,calculated total energy (eV/atom),magnetic moment (μB/cell)
1,-6.51,3.135
2,-3.84,1.007
3,-5.14,0.000
4,-5.65,0.000
5,-3.25,0.318
6,-4.72,0.000
7,-6.89,0.000
8,-2.45,0.000
9,-4.26,0.000
10,-2.63,0.000
11,-4.11,0.000
12,-3.45,0.000
13,-3.21,0.000
14,-4.22,0.000
15,-5.23,0.000
16,-6.31,2.254
17,-5.90,7.708
18,-4.84,0.001
19,-5.78,0.000